LiTb2RhO6 | PBE | optimized geometry

a b c (Å): 5.3022 5.7592 7.5912
angles (deg): 90.00 89.13 90.00
Each line ends with the local moment (μB).
Positions (direct):
O (0.8824, 0.5403, 0.2475)  0.12
O (0.1910, 0.1826, 0.4446)  0.13
O (0.1727, 0.2044, 0.0608)  0.16
O (0.8090, 0.8174, 0.5554)  0.13
O (0.6727, 0.2956, 0.5608)  0.16
O (0.6176, 0.0403, 0.2525)  0.12
O (0.3273, 0.7044, 0.4392)  0.16
O (0.3090, 0.6826, 0.0554)  0.13
O (0.1176, 0.4597, 0.7525)  0.12
O (0.3824, 0.9597, 0.7475)  0.12
O (0.8273, 0.7956, 0.9392)  0.16
O (0.6910, 0.3174, 0.9446)  0.13
Li (0.5000, 0.0000, 0.0000)  0.00
Li (0.0000, 0.5000, 0.5000)  0.00
Tb (0.9783, 0.0828, 0.7472)  0.03
Tb (0.5217, 0.5828, 0.7528)  0.03
Tb (0.0217, 0.9172, 0.2528)  0.03
Tb (0.4783, 0.4172, 0.2472)  0.03
Rh (0.5000, 0.0000, 0.5000)  1.00
Rh (0.0000, 0.5000, 0.0000)  1.00

**Energy relative to the elements, uncorrected**: -2.312 eV/atom
**Total energy**: -7.14 eV per atom